A relaxed Sc4HgGeN crystal, computed with GGA-PBE.

a b c (Å): 7.823 7.823 6.117
angles (deg): 90.00 90.00 133.89
Positions (direct):
Sc 0.000 0.500 0.000
Sc 0.000 0.500 0.500
Sc 0.084 0.916 0.750
Sc 0.412 0.588 0.750
Sc 0.500 0.000 0.000
Sc 0.500 0.000 0.500
Sc 0.588 0.412 0.250
Sc 0.916 0.084 0.250
Hg 0.390 0.610 0.250
Hg 0.610 0.390 0.750
Ge 0.113 0.887 0.250
Ge 0.887 0.113 0.750
N 0.249 0.751 0.750
N 0.751 0.249 0.250

Summary:
- Formation energy without anion corrections: -90.1 kJ/mol of atoms
- Space-group type: No. 63

=====

A relaxed HgGeSe2N crystal, computed with GGA-PBE.

a b c (Å): 5.379 5.379 4.132
angles (deg): 90.00 90.00 90.00
Positions (direct):
Hg 0.000 0.000 0.000
Ge 0.500 0.500 0.500
Se 0.000 0.500 0.000
Se 0.500 0.000 0.000
N 0.000 0.000 0.500

Summary:
- Formation energy without anion corrections: 112.2 kJ/mol of atoms
- Space-group type: No. 123

=====

A relaxed HgGeSe2N crystal, computed with GGA-PBE.

a b c (Å): 5.373 5.373 3.519
angles (deg): 90.00 90.00 90.00
Positions (direct):
Hg 0.000 0.000 0.000
Ge 0.500 0.500 0.500
Se 0.000 0.500 0.500
Se 0.500 0.000 0.500
N 0.500 0.500 0.000

Summary:
- Formation energy without anion corrections: 61.9 kJ/mol of atoms
- Space-group type: No. 123

=====

A relaxed Sm4HgGeN crystal, computed with GGA-PBE.

a b c (Å): 8.475 8.475 6.806
angles (deg): 90.00 90.00 132.62
Positions (direct):
Sm 0.000 0.500 0.000
Sm 0.000 0.500 0.500
Sm 0.078 0.922 0.750
Sm 0.418 0.582 0.750
Sm 0.500 0.000 0.000
Sm 0.500 0.000 0.500
Sm 0.582 0.418 0.250
Sm 0.922 0.078 0.250
Hg 0.386 0.614 0.250
Hg 0.614 0.386 0.750
Ge 0.116 0.884 0.250
Ge 0.884 0.116 0.750
N 0.250 0.750 0.750
N 0.750 0.250 0.250

Summary:
- Formation energy without anion corrections: -75.5 kJ/mol of atoms
- Space-group type: No. 63